A relaxed FeSiPb2 crystal. Source: the Alexandria database, functional PBE-GGA.

Summary:
- VASP energy: -4.65 eV per atom
- Formation energy from raw total energies: 2.71 eV/f.u.
- Total moment: 2.6 Bohr magnetons per cell
- Density: 9.14 g cm⁻³
- Fermi-level density of states: 0.86 states/eV per atom

Cell and atoms, written as CIF:
```
data_FeSiPb2
_chemical_formula_sum 'Fe1 Si1 Pb2'
_space_group_name_H-M_alt 'P 1'
_space_group_IT_number 1
_space_group_name_Hall 'P 1'
_cell_length_a 7.923
_cell_length_b 7.923
_cell_length_c 7.923
_cell_angle_alpha 27.02
_cell_angle_beta 27.02
_cell_angle_gamma 27.02
loop_
_atom_site_label
_atom_site_type_symbol
_atom_site_fract_x
_atom_site_fract_y
_atom_site_fract_z
Fe1 Fe 0.000 0.000 0.000
Si1 Si 0.500 0.500 0.500
Pb1 Pb 0.254 0.254 0.254
Pb2 Pb 0.746 0.746 0.746
```

=====

A relaxed FeSi2Pb2 crystal. Source: the Alexandria database, functional PBE-GGA.

Summary:
- VASP energy: -4.98 eV per atom
- Formation energy from raw total energies: 1.84 eV/f.u.
- Total moment: 3.1 Bohr magnetons per cell
- Density: 8.49 g cm⁻³
- Distance to the lowest polymorph of the same formula: 0 meV per atom
- Fermi-level density of states: 1.03 states/eV per atom

Cell and atoms, written as CIF:
```
data_FeSi2Pb2
_chemical_formula_sum 'Fe2 Si4 Pb4'
_space_group_name_H-M_alt 'P 1'
_space_group_IT_number 1
_space_group_name_Hall 'P 1'
_cell_length_a 6.361
_cell_length_b 6.361
_cell_length_c 5.092
_cell_angle_alpha 90.00
_cell_angle_beta 90.00
_cell_angle_gamma 90.00
loop_
_atom_site_label
_atom_site_type_symbol
_atom_site_fract_x
_atom_site_fract_y
_atom_site_fract_z
Fe1 Fe 0.000 0.000 0.000
Fe2 Fe 0.500 0.500 0.000
Si1 Si 0.140 0.360 0.000
Si2 Si 0.360 0.860 0.000
Si3 Si 0.640 0.140 0.000
Si4 Si 0.860 0.640 0.000
Pb1 Pb 0.183 0.683 0.500
Pb2 Pb 0.317 0.183 0.500
Pb3 Pb 0.683 0.817 0.500
Pb4 Pb 0.817 0.317 0.500
```

=====

A relaxed FeSi4Pb crystal. Source: the Alexandria database, functional PBE-GGA.

Summary:
- VASP energy: -4.98 eV per atom
- Formation energy from raw total energies: 3.97 eV/f.u.
- Total moment: 2.6 Bohr magnetons per cell
- Density: 6.07 g cm⁻³
- Fermi-level density of states: 0.55 states/eV per atom

Cell and atoms, written as CIF:
```
data_FeSi4Pb
_chemical_formula_sum 'Fe1 Si4 Pb1'
_space_group_name_H-M_alt 'P 1'
_space_group_IT_number 1
_space_group_name_Hall 'P 1'
_cell_length_a 5.256
_cell_length_b 5.256
_cell_length_c 5.256
_cell_angle_alpha 60.00
_cell_angle_beta 60.00
_cell_angle_gamma 60.00
loop_
_atom_site_label
_atom_site_type_symbol
_atom_site_fract_x
_atom_site_fract_y
_atom_site_fract_z
Fe1 Fe 0.000 0.000 0.000
Si1 Si 0.373 0.373 0.373
Si2 Si 0.373 0.373 0.880
Si3 Si 0.373 0.880 0.373
Si4 Si 0.880 0.373 0.373
Pb1 Pb 0.750 0.750 0.750
```

=====

Repeat the third record exactly.
A relaxed FeSi4Pb crystal. Source: the Alexandria database, functional PBE-GGA.

Summary:
- VASP energy: -4.98 eV per atom
- Formation energy from raw total energies: 3.97 eV/f.u.
- Total moment: 2.6 Bohr magnetons per cell
- Density: 6.07 g cm⁻³
- Fermi-level density of states: 0.55 states/eV per atom

Cell and atoms, written as CIF:
```
data_FeSi4Pb
_chemical_formula_sum 'Fe1 Si4 Pb1'
_space_group_name_H-M_alt 'P 1'
_space_group_IT_number 1
_space_group_name_Hall 'P 1'
_cell_length_a 5.256
_cell_length_b 5.256
_cell_length_c 5.256
_cell_angle_alpha 60.00
_cell_angle_beta 60.00
_cell_angle_gamma 60.00
loop_
_atom_site_label
_atom_site_type_symbol
_atom_site_fract_x
_atom_site_fract_y
_atom_site_fract_z
Fe1 Fe 0.000 0.000 0.000
Si1 Si 0.373 0.373 0.373
Si2 Si 0.373 0.373 0.880
Si3 Si 0.373 0.880 0.373
Si4 Si 0.880 0.373 0.373
Pb1 Pb 0.750 0.750 0.750
```

=====

- Look up the Fermi-level density of states of the third one.
  0.55 states/eV per atom

=====

- Look up the formation energy from raw total energies of the second one.
  1.84 eV/f.u.

=====

- Look up the total moment of the second one.
  3.1 Bohr magnetons per cell